--- one ---
This record from the Open Quantum Materials Database describes a geometry-optimized ZnCo17 structure. The functional is PBE.

Space group: P2_1/m, No. 11

abc: 4.286 4.946 31.224
angles: 90.00 90.03 90.00
Each line ends with the local moment (μB).
Element x y z (fractional)
Co 0.331 0.750 0.630  1.62
Co 0.167 0.500 0.565  1.65
Co 0.500 0.001 0.305  1.65
Co 0.168 0.497 0.758  1.63
Co 0.001 0.750 0.305  1.60
Co 0.001 0.750 0.695  1.64
Co 0.665 0.750 0.369  1.65
Co 0.834 0.000 0.630  1.64
Co 0.833 0.000 0.435  1.65
Co 0.832 0.997 0.242  1.62
Co 0.500 0.501 0.695  1.65
Co 0.666 0.250 0.565  1.64
Co 0.833 0.500 0.435  1.65
Co 0.660 0.250 0.758  1.62
Co 0.168 0.003 0.758  1.63
Co 0.333 0.250 0.435  1.64
Co 0.669 0.250 0.370  1.62
Co 0.000 0.750 0.500  1.64
Co 0.166 0.500 0.370  1.64
Co 0.000 0.250 0.500  1.64
Co 0.832 0.503 0.242  1.62
Co 0.335 0.250 0.631  1.65
Co 0.500 0.999 0.695  1.65
Co 0.500 0.000 0.500  1.64
Co 0.334 0.750 0.435  1.64
Co 0.667 0.750 0.565  1.64
Co 0.500 0.499 0.305  1.65
Co 0.500 0.500 0.500  1.64
Co 0.834 0.500 0.630  1.64
Co 0.166 0.000 0.370  1.64
Co 0.999 0.250 0.305  1.64
Co 0.999 0.250 0.695  1.60
Co 0.167 0.000 0.565  1.65
Co 0.340 0.750 0.242  1.61
Zn 0.330 0.250 0.229  -0.08
Zn 0.670 0.750 0.771  -0.08

=====

--- two ---
This record from the Open Quantum Materials Database describes a geometry-optimized ZnCo17 structure. The functional is PBE.

Space group: P-3m1, No. 164

abc: 4.961 4.961 31.289
angles: 90.00 90.00 120.00
Each line ends with the local moment (μB).
Element x y z (fractional)
Co 0.838 0.162 0.695  1.62
Co 0.833 0.167 0.500  1.66
Co 0.502 0.004 0.241  1.66
Co 0.165 0.835 0.759  1.66
Co 0.667 0.333 0.369  1.63
Co 0.500 0.999 0.435  1.66
Co 0.167 0.833 0.370  1.65
Co 0.502 0.498 0.241  1.66
Co 0.000 0.000 0.435  1.64
Co 0.838 0.675 0.695  1.62
Co 0.000 0.000 0.631  1.62
Co 0.342 0.171 0.305  1.62
Co 0.829 0.171 0.305  1.62
Co 0.996 0.498 0.241  1.66
Co 0.499 0.999 0.630  1.64
Co 0.333 0.667 0.305  1.60
Co 0.499 0.501 0.630  1.64
Co 0.333 0.667 0.695  1.60
Co 0.167 0.833 0.565  1.66
Co 0.670 0.835 0.759  1.66
Co 0.667 0.333 0.565  1.65
Co 0.333 0.667 0.500  1.64
Co 0.001 0.501 0.630  1.64
Co 0.665 0.833 0.370  1.65
Co 0.165 0.330 0.759  1.66
Co 0.833 0.667 0.500  1.66
Co 0.001 0.500 0.435  1.66
Co 0.167 0.335 0.370  1.65
Co 0.500 0.500 0.435  1.66
Co 0.829 0.658 0.305  1.62
Co 0.333 0.167 0.500  1.66
Co 0.666 0.833 0.565  1.66
Co 0.167 0.334 0.565  1.66
Co 0.325 0.162 0.695  1.62
Zn 0.000 0.000 0.236  -0.07
Zn 0.667 0.333 0.764  -0.07

=====

Name the least stable of them. two.

=====

--- one ---
This record from the Open Quantum Materials Database describes a geometry-optimized ZnCo15 structure. The functional is PBE.

Space group: P2/c, No. 13

abc: 4.282 33.612 4.281
angles: 90.00 109.06 90.00
Each line ends with the local moment (μB).
Element x y z (fractional)
Zn 0.000 0.782 0.750  -0.06
Zn 0.000 0.218 0.250  -0.06
Co 0.000 0.703 0.750  1.63
Co 0.500 0.702 0.250  1.63
Co 0.500 0.445 0.750  1.64
Co 0.000 0.333 0.750  1.63
Co 0.500 0.298 0.750  1.64
Co 0.000 0.297 0.250  1.63
Co 0.000 0.630 0.750  1.65
Co 0.500 0.773 0.250  1.73
Co 0.500 0.333 0.250  1.62
Co 0.000 0.259 0.750  1.53
Co 0.000 0.518 0.250  1.64
Co 0.500 0.227 0.750  1.73
Co 0.000 0.667 0.250  1.63
Co 0.500 0.555 0.250  1.64
Co 0.000 0.370 0.250  1.65
Co 0.500 0.408 0.250  1.64
Co 0.000 0.445 0.250  1.66
Co 0.000 0.741 0.250  1.53
Co 0.500 0.519 0.750  1.64
Co 0.500 0.741 0.750  1.53
Co 0.000 0.482 0.750  1.65
Co 0.000 0.408 0.750  1.64
Co 0.500 0.481 0.250  1.64
Co 0.500 0.629 0.250  1.65
Co 0.500 0.371 0.750  1.65
Co 0.500 0.592 0.750  1.64
Co 0.500 0.259 0.250  1.53
Co 0.000 0.592 0.250  1.64
Co 0.500 0.667 0.750  1.62
Co 0.000 0.555 0.750  1.65

=====

--- two ---
This record from the Open Quantum Materials Database describes a geometry-optimized ZnCo15 structure. The functional is PBE.

Space group: Pm, No. 6

abc: 4.960 2.478 41.277
angles: 90.00 90.00 90.00
Each line ends with the local moment (μB).
Element x y z (fractional)
Co 0.375 0.000 0.649  1.64
Co 0.123 0.500 0.691  1.65
Co 0.126 0.500 0.776  1.57
Co 0.375 0.000 0.564  1.65
Co 0.875 0.000 0.734  1.61
Co 0.625 0.500 0.521  1.64
Co 0.125 0.500 0.606  1.65
Co 0.125 0.500 0.351  1.64
Co 0.876 0.000 0.309  1.65
Co 0.875 0.000 0.564  1.64
Co 0.125 0.500 0.436  1.64
Co 0.625 0.500 0.351  1.64
Co 0.375 0.000 0.479  1.64
Co 0.375 0.000 0.394  1.64
Co 0.374 0.000 0.309  1.65
Co 0.125 0.500 0.266  1.61
Co 0.625 0.500 0.266  1.65
Co 0.625 0.500 0.606  1.65
Co 0.625 0.500 0.436  1.64
Co 0.375 0.000 0.734  1.66
Co 0.627 0.500 0.691  1.65
Co 0.375 0.000 0.816  1.65
Co 0.625 0.500 0.182  1.68
Co 0.875 0.000 0.649  1.65
Co 0.624 0.500 0.776  1.57
Co 0.875 0.000 0.394  1.64
Co 0.378 0.000 0.224  1.59
Co 0.872 0.000 0.224  1.59
Co 0.125 0.500 0.521  1.65
Co 0.875 0.000 0.479  1.65
Zn 0.125 0.500 0.177  -0.03
Zn 0.875 0.000 0.823  -0.03

=====

Name the least stable of them. one.

=====

--- one ---
This record from the Open Quantum Materials Database describes a geometry-optimized ZnCo15 structure. The functional is PBE.

Space group: P2_1/m, No. 11

abc: 6.960 2.486 33.606
angles: 90.00 90.00 90.00
Each line ends with the local moment (μB).
Element x y z (fractional)
Co 0.875 0.750 0.519  1.64
Co 0.879 0.750 0.741  1.51
Co 0.629 0.250 0.259  1.51
Co 0.375 0.750 0.592  1.63
Co 0.625 0.250 0.630  1.69
Co 0.125 0.250 0.408  1.64
Co 0.875 0.750 0.667  1.66
Co 0.875 0.750 0.592  1.65
Co 0.875 0.750 0.225  1.87
Co 0.375 0.750 0.518  1.64
Co 0.375 0.750 0.667  1.66
Co 0.125 0.250 0.556  1.62
Co 0.875 0.750 0.444  1.62
Co 0.625 0.250 0.408  1.63
Co 0.375 0.750 0.370  1.66
Co 0.125 0.250 0.775  1.84
Co 0.125 0.250 0.629  1.68
Co 0.121 0.250 0.259  1.52
Co 0.625 0.250 0.555  1.62
Co 0.625 0.250 0.702  1.61
Co 0.625 0.250 0.333  1.63
Co 0.875 0.750 0.371  1.65
Co 0.375 0.750 0.298  1.59
Co 0.125 0.250 0.481  1.64
Co 0.625 0.250 0.482  1.65
Co 0.125 0.250 0.333  1.63
Co 0.875 0.750 0.296  1.64
Co 0.375 0.750 0.445  1.63
Co 0.125 0.250 0.704  1.67
Co 0.371 0.750 0.741  1.50
Zn 0.625 0.250 0.780  -0.04
Zn 0.375 0.750 0.220  -0.04

=====

--- two ---
This record from the Open Quantum Materials Database describes a geometry-optimized ZnCo15 structure. The functional is PBE.

Space group: Pmma, No. 51

abc: 3.504 3.504 41.295
angles: 90.00 90.00 90.00
Each line ends with the local moment (μB).
Element x y z (fractional)
Co 0.500 0.500 0.436  1.54
Co 0.500 0.500 0.521  -0.67
Co 0.500 0.000 0.394  1.67
Co 0.000 0.500 0.309  1.65
Co 0.500 0.500 0.776  1.59
Co 0.500 0.500 0.267  1.61
Co 0.500 0.500 0.691  1.65
Co 0.000 0.000 0.351  1.64
Co 0.500 0.500 0.606  1.66
Co 0.000 0.500 0.394  1.66
Co 0.000 0.000 0.691  1.65
Co 0.500 0.000 0.224  1.58
Co 0.500 0.000 0.734  1.65
Co 0.500 0.000 0.564  1.48
Co 0.000 0.000 0.266  1.65
Co 0.000 0.500 0.816  1.53
Co 0.000 0.500 0.479  -0.40
Co 0.500 0.000 0.479  -0.47
Co 0.000 0.000 0.606  1.67
Co 0.000 0.000 0.436  1.54
Co 0.500 0.500 0.351  1.68
Co 0.000 0.000 0.776  1.59
Co 0.000 0.000 0.521  -0.68
Co 0.500 0.000 0.309  1.65
Co 0.000 0.500 0.649  1.67
Co 0.000 0.500 0.564  1.48
Co 0.500 0.000 0.649  1.64
Co 0.000 0.500 0.224  1.59
Co 0.500 0.500 0.184  1.52
Co 0.000 0.500 0.733  1.61
Zn 0.500 0.000 0.824  -0.06
Zn 0.000 0.000 0.176  -0.06

=====

Name the least stable of them. one.